Crystalline Ac5Dy2Sn4 at its relaxed geometry. Source: the Alexandria database, functional PBE.

abc: 3.771 7.915 14.171
angles: 92.04 97.65 90.00
Sites, in units of the cell vectors:
Ac: 0.136 0.842 0.271
Ac: 0.864 0.158 0.729
Ac: 0.234 0.238 0.469
Ac: 0.500 0.000 0.000
Ac: 0.766 0.762 0.531
Dy: 0.913 0.679 0.827
Dy: 0.087 0.321 0.173
Sn: 0.666 0.499 0.332
Sn: 0.028 0.654 0.056
Sn: 0.334 0.501 0.668
Sn: 0.972 0.346 0.944

Computed properties:
Magnetization, μB per formula unit: 0.0
Calculated total energy, eV/atom: -4.391
Crystal system: monoclinic
SG: C2/m (12)
Energy relative to the elements, kcal/mol of atoms: -5.3